1.
This record from Alexandria via LeMat-Bulk describes a relaxed structure of La2PmNd6Er. The functional is PBE.

Structure (CIF):
```
data_La2PmNd6Er
_chemical_formula_sum 'La8 Pm4 Nd24 Er4'
_space_group_name_H-M_alt 'C 1 2/c 1'
_space_group_IT_number 15
_cell_length_a 9.239
_cell_length_b 15.335
_cell_length_c 10.116
_cell_angle_alpha 90.00
_cell_angle_beta 99.92
_cell_angle_gamma 90.00
loop_
_space_group_symop_operation_xyz
'x,y,z'
'-x,-y,-z'
'-x,y,-z+1/2'
'x,-y,z+1/2'
'x+1/2,y+1/2,z'
'-x+1/2,-y+1/2,-z'
'-x+1/2,y+1/2,-z+1/2'
'x+1/2,-y+1/2,z+1/2'
loop_
_atom_site_label
_atom_site_type_symbol
_atom_site_fract_x
_atom_site_fract_y
_atom_site_fract_z
_atom_site_occupancy
La1 La 0.243 0.048 0.041 1
Pm1 Pm 0.000 0.013 0.750 1
Nd1 Nd 0.069 0.190 0.445 1
Nd2 Nd 0.099 0.397 0.620 1
Nd3 Nd 0.202 0.219 0.811 1
Er1 Er 0.000 0.406 0.250 1
```

Calculated values
- energy (eV/atom) = -4.67
- calculated volume (Å³/atom) = 35.3

=====

2.
This record from Alexandria via LeMat-Bulk describes a relaxed structure of LaPm2Nd2Er2. The functional is PBE.

Structure (CIF):
```
data_LaPm2Nd2Er2
_chemical_formula_sum 'La2 Pm4 Nd4 Er4'
_space_group_name_H-M_alt 'C 1 2/m 1'
_space_group_IT_number 12
_cell_length_a 11.826
_cell_length_b 3.571
_cell_length_c 12.072
_cell_angle_alpha 90.00
_cell_angle_beta 109.55
_cell_angle_gamma 90.00
loop_
_space_group_symop_operation_xyz
'x,y,z'
'-x,-y,-z'
'-x,y,-z'
'x,-y,z'
'x+1/2,y+1/2,z'
'-x+1/2,-y+1/2,-z'
'-x+1/2,y+1/2,-z'
'x+1/2,-y+1/2,z'
loop_
_atom_site_label
_atom_site_type_symbol
_atom_site_fract_x
_atom_site_fract_y
_atom_site_fract_z
_atom_site_occupancy
La1 La 0.000 0.000 0.000 1
Pm1 Pm 0.052 0.500 0.271 1
Nd1 Nd 0.168 0.500 0.583 1
Er1 Er 0.224 0.000 0.863 1
```

Calculated values
- energy (eV/atom) = -4.64
- calculated volume (Å³/atom) = 34.3

=====

It is found that the N(E_F) values, taken in the order of the records, are 1.513, 1.735 states/eV per atom.